Here is a crystal of HfSnRh2Br relaxed with PBEsol from Alexandria. Energies are from meta-GGA SCAN. Values from VASP.

Structure (Quantum ESPRESSO input):
```
&SYSTEM
  ibrav = 0, nat = 5, ntyp = 4
/
ATOMIC_SPECIES
Rh 102.91 Rh.upf
Br 79.90 Br.upf
Sn 118.71 Sn.upf
Hf 178.49 Hf.upf
ATOMIC_POSITIONS angstrom
Rh 0.0000 2.3863 0.0000
Rh 2.3863 0.0000 0.0000
Br 0.0000 0.0000 2.5810
Sn 0.0000 0.0000 0.0000
Hf 2.3863 2.3863 2.5810
CELL_PARAMETERS angstrom
4.7725 0.0000 0.0000
0.0000 4.7725 0.0000
0.0000 0.0000 5.1621
```

Properties
Electronic total energy in eV per atom: -36.0526
Volume in Å³/atom: 23.5
Energy relative to the elements, uncorrected in meV/atom: 1067

Here is a crystal of HfS3Br relaxed with PBEsol from Alexandria. Energies are from meta-GGA SCAN. Values from VASP.

Structure (Quantum ESPRESSO input):
```
&SYSTEM
  ibrav = 0, nat = 5, ntyp = 3
/
ATOMIC_SPECIES
S 32.06 S.upf
Hf 178.49 Hf.upf
Br 79.90 Br.upf
ATOMIC_POSITIONS angstrom
S -1.9417 -0.9457 0.8942
S 1.0611 -2.0802 0.1043
S -0.7536 -0.4926 -2.1572
Hf -1.6342 -3.5185 -1.1587
Br 0.0000 0.0000 0.0000
CELL_PARAMETERS angstrom
-3.8834 -1.8913 1.7885
-1.5072 -0.9852 -4.3145
2.1223 -4.1604 0.2086
```

Properties
Electronic total energy in eV per atom: -21.2873
Volume in Å³/atom: 20.4
Energy relative to the elements, uncorrected in meV/atom: 916

Which value of volume does entry 2 give?
20.4 Å³/atom

What is the electronic total energy in the first record?
-36.0526 eV per atom

Which of these has the highest volume?
HfSnRh2Br